# 1
DFT (GGA-PBE) results for an optimized crystal structure of Sm2ErTl3.

Computed properties:
Its volume is 30.17 Å³/atom. Its space group is No. 63. The value obtained for the excess energy over the best structure of this formula in the dataset is 131 meV/atom. The formation energy comes out at -230 meV/atom. The total energy is -3.747 eV/atom.

Geometry as POSCAR:
```
Sm2ErTl3
1.0
3.7185 0.0000 0.0000
0.0000 6.7278 0.0000
-1.8592 0.0000 14.4739
Tl Er Sm
6 2 4
direct
0.4223 0.0082 0.8447
0.7456 0.7500 0.4912
0.2544 0.2500 0.5088
0.5777 0.5082 0.1553
0.5777 0.9918 0.1553
0.4223 0.4918 0.8447
0.6680 0.2500 0.3361
0.3320 0.7500 0.6639
0.8465 0.2500 0.6929
0.1535 0.7500 0.3071
0.9950 0.7500 0.9899
0.0050 0.2500 0.0101
```

***

# 2
DFT (GGA-PBE) results for an optimized crystal structure of CaBeBr2.

Computed properties:
Its volume is 30.65 Å³/atom. The formation energy (no corrections) is -0.41 eV per atom. Its space group is No. 122. The value obtained for the excess energy over the best structure of this formula in the dataset is 394 meV/atom. The total energy is -2.673 eV/atom.

Geometry as POSCAR:
```
CaBeBr2
1.0
5.2714 0.0000 0.0000
0.0000 5.2714 0.0000
2.6357 2.6357 8.8237
Ca Br Be
2 4 2
direct
0.7500 0.2500 0.5000
0.0000 0.0000 0.0000
0.3750 0.3788 0.7500
0.6212 0.1250 0.2500
0.1288 0.6250 0.2500
0.8750 0.8712 0.7500
0.5000 0.5000 0.0000
0.2500 0.7500 0.5000
```

***

# 3
DFT (GGA-PBE) results for an optimized crystal structure of LiBOsRu2.

Computed properties:
Its volume is 12.92 Å³/atom. Its space group is No. 123. The formation energy comes out at 1863 meV/atom. The total energy is -5.811 eV/atom.

Geometry as POSCAR:
```
LiBOsRu2
1.0
-0.7419 0.6622 -3.8411
0.2628 -4.0252 -0.7447
-3.8894 -0.3808 0.6856
Ru B Os Li
2 1 1 1
direct
0.0000 0.0000 0.5000
0.5000 0.0000 0.0000
0.5000 0.5000 0.5000
0.0000 0.5000 0.0000
0.0000 0.0000 0.0000
```